(1)
The following is a PBE calculation of Ce4Y3P8 after structural relaxation, from Alexandria.

POSCAR file:
```
Ce4Y3P8
1.0
5.6934 -5.7300 0.0000
5.6934 5.7300 0.0000
-5.6367 0.0000 5.7507
Ce Y P
4 3 8
Cartesian
0.0000 0.0000 0.0000
2.8467 2.8650 0.0000
2.8467 -2.8650 0.0000
2.8750 0.0000 2.8754
-2.8184 0.0000 2.8754
0.0283 2.8650 2.8754
0.0283 -2.8650 2.8754
5.6934 2.9142 0.0000
2.8096 0.0000 0.0042
0.0525 0.0000 2.8172
2.8750 2.8768 2.8754
2.8750 -2.8768 2.8754
5.6975 0.0000 2.9335
2.9405 0.0000 5.7465
5.6934 -2.9142 0.0000
```

Calculated values
**Density**: 4.76 g/cm3
**Energy**: -7.0597 eV per atom
**Crystal system**: monoclinic
**Energy of formation from the pure elements**: -1.30 eV/atom

=====

(2)
The following is a PBE calculation of VCrBRh2 after structural relaxation, from Alexandria.

POSCAR file:
```
VCrBRh2
1.0
4.4233 0.0000 0.0000
0.0000 4.4233 0.0000
0.0000 0.0000 4.1867
V Cr B Rh
1 1 1 2
Cartesian
0.0000 0.0000 0.0000
0.0000 0.0000 2.0933
2.2117 2.2117 0.0000
0.0000 2.2117 2.0933
2.2117 0.0000 2.0933
```

Calculated values
**Density**: 6.48 g/cm3
**Energy**: -6.3625 eV per atom
**Crystal system**: tetragonal
**Energy of formation from the pure elements**: 1.66 eV/atom

=====

(3)
The following is a PBE calculation of TlAg4Cl6 after structural relaxation, from Alexandria.

POSCAR file:
```
TlAg4Cl6
1.0
3.8013 -3.7338 0.0000
3.8013 3.7338 0.0000
-1.9671 0.0000 10.0292
Tl Ag Cl
1 4 6
Cartesian
0.0000 0.0000 0.0000
1.8959 0.0000 3.1410
3.7370 1.8836 6.5608
5.5262 0.0000 3.1808
3.7370 -1.8836 6.5608
3.7120 1.9154 2.5264
1.8438 0.0000 5.7709
3.7321 1.8624 9.1289
3.7120 -1.9154 2.5264
5.6273 0.0000 5.8276
3.7321 -1.8624 9.1289
```

Calculated values
**Density**: 4.95 g/cm3
**Energy**: -2.7387 eV per atom
**Raw formation energy**: -0.48 eV/atom
**Crystal system**: monoclinic